A.
This record from Alexandria via LeMat-Bulk describes IrPt2Rh after structural relaxation. The functional is PBEsol.

Calculated values
Mass density = 19.81 Mg/m³
Size of the total moment = 0.00 μB/cell
SG = No. 166
V = 57.4 Å³/f.u.

a b c (Å): 2.741 2.741 8.970
angles (deg): 81.21 81.21 60.00
Fractional coordinates of all 4 atoms:
Pt 0.250 0.250 0.251
Rh 0.500 0.500 0.500
Ir 0.000 0.000 0.000
Pt 0.750 0.750 0.749

B.
This record from Alexandria via LeMat-Bulk describes IrPt2Rh after structural relaxation. The functional is PBEsol.

Calculated values
Mass density = 19.82 Mg/m³
Size of the total moment = 0.00 μB/cell
SG = No. 12
V = 57.4 Å³/f.u.

a b c (Å): 2.736 4.708 4.732
angles (deg): 99.67 90.00 106.89
Fractional coordinates of all 4 atoms:
Pt 0.249 0.497 0.249
Ir 0.500 0.000 0.000
Rh 0.000 0.000 0.500
Pt 0.751 0.503 0.751

C.
This record from Alexandria via LeMat-Bulk describes IrPt2Rh after structural relaxation. The functional is PBEsol.

Calculated values
Mass density = 19.82 Mg/m³
Size of the total moment = 0.00 μB/cell
SG = No. 25
V = 57.4 Å³/f.u.

a b c (Å): 2.730 3.850 5.462
angles (deg): 90.00 90.00 90.00
Fractional coordinates of all 4 atoms:
Ir 0.500 0.500 0.743
Pt 0.000 0.000 0.995
Pt 0.500 0.500 0.254
Rh 0.000 0.000 0.508

Least stable of them? A.

A.
This record from Alexandria via LeMat-Bulk describes IrPt2Rh after structural relaxation. The functional is PBEsol.

Calculated values
Mass density = 19.83 Mg/m³
Size of the total moment = 0.00 μB/cell
SG = No. 65
V = 57.4 Å³/f.u.

a b c (Å): 2.735 4.712 4.712
angles (deg): 109.06 90.00 90.00
Fractional coordinates of all 4 atoms:
Pt 0.000 0.500 0.000
Rh 0.500 0.000 0.000
Pt 0.000 0.000 0.500
Ir 0.500 0.500 0.500

B.
This record from Alexandria via LeMat-Bulk describes IrPt2Rh after structural relaxation. The functional is PBEsol.

Calculated values
Mass density = 19.45 Mg/m³
Size of the total moment = 0.00 μB/cell
SG = No. 12
V = 58.5 Å³/f.u.

a b c (Å): 2.689 4.637 5.398
angles (deg): 115.29 104.19 90.53
Fractional coordinates of all 4 atoms:
Rh 0.000 0.000 0.000
Pt 0.000 0.000 0.500
Pt 0.500 0.500 0.500
Ir 0.500 0.500 0.000

Least stable of them? B.

A.
This record from Alexandria via LeMat-Bulk describes IrPt2Rh after structural relaxation. The functional is PBEsol.

Calculated values
Mass density = 19.85 Mg/m³
Size of the total moment = 0.00 μB/cell
SG = No. 119
V = 57.3 Å³/f.u.

a b c (Å): 3.854 3.854 4.725
angles (deg): 114.07 114.07 90.00
Fractional coordinates of all 4 atoms:
Ir 0.250 0.750 0.500
Rh 0.500 0.500 0.000
Pt 0.750 0.250 0.500
Pt 0.000 0.000 0.000

B.
This record from Alexandria via LeMat-Bulk describes IrPt2Rh after structural relaxation. The functional is PBEsol.

Calculated values
Mass density = 19.84 Mg/m³
Size of the total moment = 0.00 μB/cell
SG = No. 139
V = 57.4 Å³/f.u.

a b c (Å): 3.862 3.862 4.717
angles (deg): 114.17 114.17 90.00
Fractional coordinates of all 4 atoms:
Rh 0.500 0.500 0.000
Pt 0.750 0.250 0.500
Ir 0.000 0.000 0.000
Pt 0.250 0.750 0.500

Least stable of them? B.

A.
This record from Alexandria via LeMat-Bulk describes Ir2PtRh after structural relaxation. The functional is PBEsol.

Calculated values
Mass density = 20.10 Mg/m³
Size of the total moment = 0.00 μB/cell
SG = No. 119
V = 56.4 Å³/f.u.

a b c (Å): 3.831 3.831 4.700
angles (deg): 114.05 114.05 90.00
Fractional coordinates of all 4 atoms:
Ir 0.750 0.250 0.500
Ir 0.000 0.000 0.000
Rh 0.250 0.750 0.500
Pt 0.500 0.500 0.000

B.
This record from Alexandria via LeMat-Bulk describes Ir2PtRh after structural relaxation. The functional is PBEsol.

Calculated values
Mass density = 20.07 Mg/m³
Size of the total moment = 0.00 μB/cell
SG = No. 123
V = 56.5 Å³/f.u.

a b c (Å): 3.832 3.832 3.844
angles (deg): 90.00 90.00 90.00
Fractional coordinates of all 4 atoms:
Ir 0.500 0.000 0.000
Ir 0.000 0.500 0.000
Rh 0.000 0.000 0.500
Pt 0.500 0.500 0.500

C.
This record from Alexandria via LeMat-Bulk describes Ir2PtRh after structural relaxation. The functional is PBEsol.

Calculated values
Mass density = 20.06 Mg/m³
Size of the total moment = 0.00 μB/cell
SG = No. 65
V = 56.5 Å³/f.u.

a b c (Å): 2.719 4.695 4.695
angles (deg): 109.49 90.00 90.00
Fractional coordinates of all 4 atoms:
Rh 0.500 0.500 0.500
Ir 0.000 0.000 0.500
Pt 0.500 0.000 0.000
Ir 0.000 0.500 0.000

D.
This record from Alexandria via LeMat-Bulk describes Ir2PtRh after structural relaxation. The functional is PBEsol.

Calculated values
Mass density = 20.03 Mg/m³
Size of the total moment = 0.00 μB/cell
SG = No. 160
V = 56.6 Å³/f.u.

a b c (Å): 2.716 2.716 8.990
angles (deg): 81.37 81.37 59.98
Fractional coordinates of all 4 atoms:
Rh 0.252 0.252 0.245
Ir 0.000 0.000 0.000
Pt 0.500 0.500 0.499
Ir 0.748 0.748 0.756

Least stable of them? C.

A.
This record from Alexandria via LeMat-Bulk describes Ir2PtRh after structural relaxation. The functional is PBEsol.

Calculated values
Mass density = 20.07 Mg/m³
Size of the total moment = 0.00 μB/cell
SG = No. 139
V = 56.5 Å³/f.u.

a b c (Å): 3.832 3.832 4.704
angles (deg): 114.03 114.03 90.00
Fractional coordinates of all 4 atoms:
Ir 0.750 0.250 0.500
Ir 0.250 0.750 0.500
Pt 0.500 0.500 0.000
Rh 0.000 0.000 0.000

B.
This record from Alexandria via LeMat-Bulk describes Ir2PtRh after structural relaxation. The functional is PBEsol.

Calculated values
Mass density = 19.59 Mg/m³
Size of the total moment = 0.00 μB/cell
SG = No. 10
V = 57.8 Å³/f.u.

a b c (Å): 2.682 4.615 4.674
angles (deg): 90.00 90.00 90.77
Fractional coordinates of all 4 atoms:
Ir 0.749 0.747 0.000
Rh 0.500 0.500 0.500
Pt 0.000 0.000 0.500
Ir 0.251 0.253 0.000

C.
This record from Alexandria via LeMat-Bulk describes Ir2PtRh after structural relaxation. The functional is PBEsol.

Calculated values
Mass density = 20.05 Mg/m³
Size of the total moment = 0.00 μB/cell
SG = No. 166
V = 56.5 Å³/f.u.

a b c (Å): 2.719 2.719 8.971
angles (deg): 81.28 81.28 60.00
Fractional coordinates of all 4 atoms:
Pt 0.500 0.500 0.500
Rh 0.000 0.000 0.000
Ir 0.748 0.748 0.756
Ir 0.252 0.252 0.244

Least stable of them? B.